Entry 1:
Entry from Alexandria via LeMat-Bulk: a relaxed structure of TaTcAg2 (PBE).

The structure in extended XYZ format:
```
4
Lattice="5.0733 -1.5148 0.0000 5.0733 1.5148 0.0000 -1.0301 0.0000 4.3843" Properties=species:S:1:pos:R:3 pbc="T T T"
Ta 0.0000 0.0000 0.0000
Tc 4.5583 0.0000 2.1921
Ag 1.7321 0.0000 3.2749
Ag 7.3844 0.0000 1.1094
```

Summary:
Distance to the lowest polymorph of the same formula ... 0.132 eV per atom
Energy of formation ... 7.2 kcal/mol of atoms
Total moment ... 0.000 μB per atom
N(E_F) ... 2.92 states/eV/cell



Entry 2:
Entry from Alexandria via LeMat-Bulk: a relaxed structure of Tl3Hg4Bi4 (PBE).

The structure in extended XYZ format:
```
11
Lattice="-1.7414 2.6916 17.7501 1.7414 -2.6916 17.7501 1.7414 2.6916 -17.7501" Properties=species:S:1:pos:R:3 pbc="T T T"
Tl 0.0000 0.0000 0.0000
Tl 1.7414 0.0000 12.8953
Tl 0.0000 2.6916 4.8548
Hg 1.7414 0.0000 6.3654
Hg 0.0000 0.0000 16.2286
Hg 0.0000 0.0000 19.2716
Hg 0.0000 2.6916 11.3847
Bi 1.7414 0.0000 3.1558
Bi 0.0000 0.0000 9.5424
Bi 0.0000 0.0000 25.9579
Bi 0.0000 2.6916 14.5943
```

Summary:
Energy of formation ... 0.6 kcal/mol of atoms
Total moment ... 0.000 μB per atom
N(E_F) ... 6.07 states/eV/cell



Entry 3:
Entry from Alexandria via LeMat-Bulk: a relaxed structure of CaHgAs2Br (PBE).

The structure in extended XYZ format:
```
5
Lattice="5.6327 0.0000 0.0000 0.0000 5.6327 0.0000 0.0000 0.0000 5.4783" Properties=species:S:1:pos:R:3 pbc="T T T"
Ca 0.0000 0.0000 0.0000
Hg 2.8163 2.8163 2.7391
As 0.0000 2.8163 0.0000
As 2.8163 0.0000 0.0000
Br 0.0000 0.0000 2.7391
```

Summary:
Distance to the lowest polymorph of the same formula ... 0.140 eV per atom
Total moment ... 0.387 μB per atom
N(E_F) ... 3.87 states/eV/cell



Please write out number 3 again, unchanged.
Entry from Alexandria via LeMat-Bulk: a relaxed structure of CaHgAs2Br (PBE).

The structure in extended XYZ format:
```
5
Lattice="5.6327 0.0000 0.0000 0.0000 5.6327 0.0000 0.0000 0.0000 5.4783" Properties=species:S:1:pos:R:3 pbc="T T T"
Ca 0.0000 0.0000 0.0000
Hg 2.8163 2.8163 2.7391
As 0.0000 2.8163 0.0000
As 2.8163 0.0000 0.0000
Br 0.0000 0.0000 2.7391
```

Summary:
Distance to the lowest polymorph of the same formula ... 0.140 eV per atom
Total moment ... 0.387 μB per atom
N(E_F) ... 3.87 states/eV/cell